Compound: Ti6In3Bi
Source: the Alexandria database
Functional: PBE
Structure: optimized geometry

Summary:
* electronic total energy: -5.877 eV per atom
* ΔE_f: 70 meV per atom
* M_tot: 0.00 μB per atom
* volume: 415.1 Å³ per cell

POSCAR file:
```
Ti6In3Bi
1.0
4.448 -7.480 0.000
4.448 7.480 0.000
0.000 0.000 6.238
Ti In Bi
12 6 2
direct
0.024 0.976 0.500
0.050 0.554 0.488
0.200 0.363 0.199
0.287 0.713 0.183
0.363 0.200 0.699
0.446 0.950 0.488
0.554 0.050 0.988
0.637 0.800 0.199
0.713 0.287 0.683
0.800 0.637 0.699
0.950 0.446 0.988
0.976 0.024 0.000
0.103 0.306 0.721
0.306 0.103 0.221
0.437 0.563 0.532
0.563 0.437 0.032
0.694 0.897 0.721
0.897 0.694 0.221
0.172 0.828 0.806
0.828 0.172 0.306
```